Entry 1:
Density functional theory data (PBEsol) for an optimized crystal structure of NdBPt3.

Cell: 3.9893 3.9893 5.0416 Å, 90.00 90.00 90.00°
Closest atoms and distances in Å follow each position.
Sites, in units of the cell vectors:
Nd1 0.0000 0.0000 0.0000  8 Pt 2.89-3.15, 4 B 3.18
B1 0.5000 0.5000 0.7069  5 Pt 2.09-2.21
Pt1 0.0000 0.5000 0.5177  2 B 2.21
Pt2 0.5000 0.0000 0.5177  2 B 2.21
Pt3 0.5000 0.5000 0.1210  1 B 2.09

- Space-group type: P4mm (99)
- Size of the total moment: 0.0000 μB per atom
- Energy of formation: -0.880 eV/atom



Entry 2:
Density functional theory data (PBEsol) for an optimized crystal structure of NdBRh3.

Cell: 4.1941 4.1941 4.1941 Å, 90.00 90.00 90.00°
Closest atoms and distances in Å follow each position.
Sites, in units of the cell vectors:
Nd1 0.0000 0.0000 0.0000  12 Rh 2.97
B1 0.5000 0.5000 0.5000  6 Rh 2.10
Rh1 0.0000 0.5000 0.5000  2 B 2.10
Rh2 0.5000 0.0000 0.5000  2 B 2.10
Rh3 0.5000 0.5000 0.0000  2 B 2.10

- Space-group type: Pm-3m (221)
- Size of the total moment: 0.0002 μB per atom
- Energy of formation: -0.692 eV/atom



Entry 3:
Density functional theory data (PBEsol) for an optimized crystal structure of NdB4Ru4.

Cell: 9.1661 9.1661 9.1661 Å, 131.94 131.94 70.33°
Closest atoms and distances in Å follow each position.
Sites, in units of the cell vectors:
Nd1 0.1250 0.3750 0.7500  12 Ru 2.94-3.20, 12 B 2.97-3.18
Nd2 0.3750 0.1250 0.2500  12 Ru 2.94-3.20, 12 B 2.97-3.18
Nd3 0.6250 0.8750 0.7500  12 Ru 2.94-3.20, 12 B 2.97-3.18
Nd4 0.8750 0.6250 0.2500  12 Ru 2.94-3.20, 12 B 2.97-3.18
B1 0.0623 0.1234 0.2726  1 B 1.80
B2 0.1234 0.3508 0.0610  1 B 1.80
B3 0.1492 0.3766 0.4390  1 B 1.80
B4 0.2102 0.9377 0.5610  1 B 1.80
B5 0.2898 0.8508 0.7274  1 B 1.80
B6 0.3508 0.7898 0.2274  1 B 1.80
B7 0.3766 0.4377 0.2274  1 B 1.80
B8 0.4377 0.7102 0.0610  1 B 1.80
B9 0.5623 0.2898 0.9390  1 B 1.80
B10 0.6234 0.5623 0.7726  1 B 1.80
B11 0.6492 0.2102 0.7726  1 B 1.80
B12 0.7102 0.1492 0.2726  1 B 1.80
B13 0.7898 0.0623 0.4390  1 B 1.80
B14 0.8508 0.6234 0.5610  1 B 1.80
B15 0.8766 0.6492 0.9390  1 B 1.80
B16 0.9377 0.8766 0.7274  1 B 1.80
Ru1 0.0418 0.8205 0.9891  5 B 2.13-2.28
Ru2 0.0527 0.0418 0.7213  5 B 2.13-2.28
Ru3 0.1686 0.6795 0.7213  5 B 2.13-2.28
Ru4 0.1795 0.6686 0.2213  5 B 2.13-2.28
Ru5 0.3205 0.5418 0.4891  5 B 2.13-2.28
Ru6 0.3314 0.0527 0.5109  5 B 2.13-2.28
Ru7 0.4473 0.1686 0.9891  5 B 2.13-2.28
Ru8 0.4582 0.4473 0.7787  5 B 2.13-2.28
Ru9 0.5418 0.5527 0.2213  5 B 2.13-2.28
Ru10 0.5527 0.8314 0.0109  5 B 2.13-2.28
Ru11 0.6686 0.9473 0.4891  5 B 2.13-2.28
Ru12 0.6795 0.4582 0.5109  5 B 2.13-2.28
Ru13 0.8205 0.3314 0.7787  5 B 2.13-2.28
Ru14 0.8314 0.3205 0.2787  5 B 2.13-2.28
Ru15 0.9473 0.9582 0.2787  5 B 2.13-2.28
Ru16 0.9582 0.1795 0.0109  5 B 2.13-2.28

- Space-group type: I4_1/acd (142)
- Size of the total moment: 0.0000 μB per atom
- Energy of formation: -0.477 eV/atom



Entry 4:
Density functional theory data (PBEsol) for an optimized crystal structure of Ni2B.

Cell: 4.0631 4.0631 4.0631 Å, 105.57 105.57 117.59°
Closest atoms and distances in Å follow each position.
Sites, in units of the cell vectors:
Ni1 0.1691 0.6691 0.8383  4 B 2.11, 1 Ni 2.35
Ni2 0.3309 0.1691 0.5000  4 B 2.11, 1 Ni 2.35
Ni3 0.6691 0.8309 0.5000  4 B 2.11, 1 Ni 2.35
Ni4 0.8309 0.3309 0.1617  4 B 2.11, 1 Ni 2.35
B1 0.2500 0.2500 0.0000  2 B 2.11, 8 Ni 2.11
B2 0.7500 0.7500 0.0000  2 B 2.11, 8 Ni 2.11

- Space-group type: I4/mcm (140)
- Size of the total moment: 0.0001 μB per atom
- Energy of formation: -0.360 eV/atom



Entry 5:
Density functional theory data (PBEsol) for an optimized crystal structure of NiB4O7.

Cell: 6.2762 6.2762 5.1771 Å, 90.00 90.00 60.35°
Closest atoms and distances in Å follow each position.
Sites, in units of the cell vectors:
Ni1 0.2376 0.7624 0.7500  5 O 1.98-2.03
Ni2 0.7624 0.2376 0.2500  5 O 1.98-2.03
B1 0.2006 0.2006 0.0000  4 O 1.45-1.54
B2 0.2006 0.2006 0.5000  4 O 1.45-1.54
B3 0.2044 0.5644 0.2500  4 O 1.45-1.54
B4 0.4356 0.7956 0.2500  4 O 1.45-1.54
B5 0.5644 0.2044 0.7500  4 O 1.45-1.54
B6 0.7956 0.4356 0.7500  4 O 1.45-1.54
B7 0.7994 0.7994 0.0000  4 O 1.45-1.54
B8 0.7994 0.7994 0.5000  4 O 1.45-1.54
O1 0.0630 0.6864 0.0223  2 B 1.45
O2 0.0630 0.6864 0.4777  2 B 1.45
O3 0.2555 0.2979 0.2500  3 B 1.54
O4 0.2979 0.2555 0.7500  3 B 1.54
O5 0.3136 0.9370 0.0223  2 B 1.45
O6 0.3136 0.9370 0.4777  2 B 1.45
O7 0.4400 0.5600 0.2500  2 B 1.47
O8 0.5600 0.4400 0.7500  2 B 1.47
O9 0.6864 0.0630 0.5223  2 B 1.45
O10 0.6864 0.0630 0.9777  2 B 1.45
O11 0.7021 0.7445 0.2500  3 B 1.54
O12 0.7445 0.7021 0.7500  3 B 1.54
O13 0.9370 0.3136 0.5223  2 B 1.45
O14 0.9370 0.3136 0.9777  2 B 1.45

- Space-group type: Cmcm (63)
- Size of the total moment: 0.1674 μB per atom
- Energy: -8.032 eV/atom



Entry 6:
Density functional theory data (PBEsol) for an optimized crystal structure of NiB2PbO.

Cell: 3.5974 3.5974 4.8989 Å, 90.00 90.00 90.00°
Closest atoms and distances in Å follow each position.
Sites, in units of the cell vectors:
Ni1 0.0000 0.0000 0.0000  4 Pb 2.54
B1 0.0000 0.5000 0.5000  2 O 1.80
B2 0.5000 0.0000 0.5000  2 O 1.80
Pb1 0.5000 0.5000 0.0000  2 O 2.45, 4 Ni 2.54
O1 0.5000 0.5000 0.5000  4 B 1.80

- Space-group type: P4/mmm (123)
- Size of the total moment: 0.0002 μB per atom
- Energy: -4.648 eV/atom



Entry 7:
Density functional theory data (PBEsol) for an optimized crystal structure of ReNiB2O.

Cell: 3.6762 3.6762 3.4382 Å, 90.00 90.00 90.00°
Closest atoms and distances in Å follow each position.
Sites, in units of the cell vectors:
Re1 0.0000 0.0000 0.0000  8 B 2.52, 4 Ni 2.60
Ni1 0.5000 0.5000 0.0000  2 O 1.72
B1 0.0000 0.5000 0.5000  2 O 1.84
B2 0.5000 0.0000 0.5000  2 O 1.84
O1 0.5000 0.5000 0.5000  2 Ni 1.72, 4 B 1.84

- Space-group type: P4/mmm (123)
- Size of the total moment: 0.0000 μB per atom
- Energy: -6.942 eV/atom



Entry 8:
Density functional theory data (PBEsol) for an optimized crystal structure of NiBP2Ru.

Cell: 4.5124 4.5124 3.9140 Å, 90.00 90.00 90.00°
Closest atoms and distances in Å follow each position.
Sites, in units of the cell vectors:
Ni1 0.0000 0.0000 0.0000  8 P 2.99, 4 B 3.19
B1 0.5000 0.5000 0.0000  2 Ru 1.96
P1 0.0000 0.5000 0.5000  2 Ru 2.26
P2 0.5000 0.0000 0.5000  2 Ru 2.26
Ru1 0.5000 0.5000 0.5000  2 B 1.96

- Space-group type: P4/mmm (123)
- Size of the total moment: 0.0001 μB per atom
- Energy of formation: 1.023 eV/atom